VASP calculation (PBE) on a relaxed SrLiEuIn crystal.

Output
Total DFT energy (no corrections) = -4.394 eV/atom
Energy of formation = -23 kJ/mol of atoms

Cell and atoms, written as CIF:
```
data_SrLiEuIn
_space_group_name_H-M_alt 'F -4 3 m'
_space_group_IT_number 216
_space_group_name_Hall 'F -4 2 3'
_cell_length_a 8.0609
_cell_length_b 8.0609
_cell_length_c 8.0609
_cell_angle_alpha 90.00
_cell_angle_beta 90.00
_cell_angle_gamma 90.00
loop_
_atom_site_label
_atom_site_type_symbol
_atom_site_fract_x
_atom_site_fract_y
_atom_site_fract_z
_atom_site_occupancy
Sr1 Sr 0.0000 0.0000 0.0000 1
Li1 Li 0.2500 0.2500 0.7500 1
Eu1 Eu 0.0000 0.0000 0.5000 1
In1 In 0.2500 0.2500 0.2500 1
```

***

VASP calculation (PBE) on a relaxed ZnIn3Ag crystal.

Output
Relative energy among the computed polymorphs = 0.273 eV per atom
Total DFT energy (no corrections) = -2.123 eV/atom
Energy of formation = 33 kJ/mol of atoms

Cell and atoms, written as CIF:
```
data_ZnIn3Ag
_space_group_name_H-M_alt 'P m -3 m'
_space_group_IT_number 221
_space_group_name_Hall '-P 4 2 3'
_cell_length_a 5.3657
_cell_length_b 5.3657
_cell_length_c 5.3657
_cell_angle_alpha 90.00
_cell_angle_beta 90.00
_cell_angle_gamma 90.00
loop_
_atom_site_label
_atom_site_type_symbol
_atom_site_fract_x
_atom_site_fract_y
_atom_site_fract_z
_atom_site_occupancy
Zn1 Zn 0.0000 0.0000 0.0000 1
In1 In 0.0000 0.5000 0.5000 1
Ag1 Ag 0.5000 0.5000 0.5000 1
```

***

VASP calculation (PBE) on a relaxed Ni2PPt crystal.

Output
Total DFT energy (no corrections) = -5.853 eV/atom
Energy of formation = -10 kJ/mol of atoms

Cell and atoms, written as CIF:
```
data_Ni2PPt
_space_group_name_H-M_alt 'I -4 m 2'
_space_group_IT_number 119
_space_group_name_Hall 'I -4 -2'
_cell_length_a 3.6648
_cell_length_b 3.6648
_cell_length_c 7.3576
_cell_angle_alpha 90.00
_cell_angle_beta 90.00
_cell_angle_gamma 90.00
loop_
_atom_site_label
_atom_site_type_symbol
_atom_site_fract_x
_atom_site_fract_y
_atom_site_fract_z
_atom_site_occupancy
Ni1 Ni 0.0000 0.0000 0.0000 1
Ni2 Ni 0.0000 0.5000 0.2500 1
P1 P 0.0000 0.5000 0.7500 1
Pt1 Pt 0.0000 0.0000 0.5000 1
```

***

VASP calculation (PBE) on a relaxed NaGa2Ir2 crystal.

Output
Relative energy among the computed polymorphs = 0.014 eV per atom
Total DFT energy (no corrections) = -5.346 eV/atom
Energy of formation = -32 kJ/mol of atoms

Cell and atoms, written as CIF:
```
data_NaGa2Ir2
_space_group_name_H-M_alt 'P 4/m b m'
_space_group_IT_number 127
_space_group_name_Hall '-P 4 2ab'
_cell_length_a 7.4711
_cell_length_b 7.4711
_cell_length_c 2.8771
_cell_angle_alpha 90.00
_cell_angle_beta 90.00
_cell_angle_gamma 90.00
loop_
_atom_site_label
_atom_site_type_symbol
_atom_site_fract_x
_atom_site_fract_y
_atom_site_fract_z
_atom_site_occupancy
Na1 Na 0.0000 0.0000 0.0000 1
Ga1 Ga 0.1519 0.3481 0.5000 1
Ir1 Ir 0.1437 0.6437 0.0000 1
```

***

VASP calculation (PBE) on a relaxed ReHgO4 crystal.

Output
Relative energy among the computed polymorphs = 0.190 eV per atom
Total DFT energy (no corrections) = -6.542 eV/atom
ΔE_f (raw) = -1.11 eV/atom

Cell and atoms, written as CIF:
```
data_ReHgO4
_space_group_name_H-M_alt 'P -1'
_space_group_IT_number 2
_cell_length_a 3.7955
_cell_length_b 3.7998
_cell_length_c 6.6897
_cell_angle_alpha 105.25
_cell_angle_beta 99.53
_cell_angle_gamma 90.88
loop_
_space_group_symop_operation_xyz
'x,y,z'
'-x,-y,-z'
loop_
_atom_site_label
_atom_site_type_symbol
_atom_site_fract_x
_atom_site_fract_y
_atom_site_fract_z
_atom_site_occupancy
Re1 Re 0.0000 0.0000 0.0000 1
Hg1 Hg 0.5000 0.0000 0.5000 1
O1 O 0.0000 0.5000 0.0000 1
O2 O 0.0808 0.1431 0.3025 1
O3 O 0.5000 0.0000 0.0000 1
```

***

VASP calculation (PBE) on a relaxed Cs2LiNCl6 crystal.

Output
Total DFT energy (no corrections) = -2.972 eV/atom
ΔE_f (raw) = -0.67 eV/atom

Cell and atoms, written as CIF:
```
data_Cs2LiNCl6
_space_group_name_H-M_alt 'I 4/m m m'
_space_group_IT_number 139
_space_group_name_Hall '-I 4 2'
_cell_length_a 7.1241
_cell_length_b 7.1241
_cell_length_c 10.0973
_cell_angle_alpha 90.00
_cell_angle_beta 90.00
_cell_angle_gamma 90.00
loop_
_atom_site_label
_atom_site_type_symbol
_atom_site_fract_x
_atom_site_fract_y
_atom_site_fract_z
_atom_site_occupancy
Cs1 Cs 0.0000 0.5000 0.2500 1
Li1 Li 0.0000 0.0000 0.0000 1
N1 N 0.0000 0.0000 0.5000 1
Cl1 Cl 0.0000 0.0000 0.2726 1
Cl2 Cl 0.2280 0.2280 0.5000 1
```

***

VASP calculation (PBE) on a relaxed UTlAgAu crystal.

Output
Total DFT energy (no corrections) = -4.819 eV/atom
Energy of formation = 12 kJ/mol of atoms

Cell and atoms, written as CIF:
```
data_UTlAgAu
_space_group_name_H-M_alt 'F -4 3 m'
_space_group_IT_number 216
_space_group_name_Hall 'F -4 2 3'
_cell_length_a 7.1216
_cell_length_b 7.1216
_cell_length_c 7.1216
_cell_angle_alpha 90.00
_cell_angle_beta 90.00
_cell_angle_gamma 90.00
loop_
_atom_site_label
_atom_site_type_symbol
_atom_site_fract_x
_atom_site_fract_y
_atom_site_fract_z
_atom_site_occupancy
U1 U 0.0000 0.0000 0.0000 1
Tl1 Tl 0.0000 0.0000 0.5000 1
Ag1 Ag 0.2500 0.2500 0.7500 1
Au1 Au 0.2500 0.2500 0.2500 1
```

***

VASP calculation (PBE) on a relaxed Hf2TiNiN crystal.

Output
Relative energy among the computed polymorphs = 0.000 eV per atom
Total DFT energy (no corrections) = -9.196 eV/atom
ΔE_f (raw) = -0.81 eV/atom

Cell and atoms, written as CIF:
```
data_Hf2TiNiN
_space_group_name_H-M_alt 'P 4/m m m'
_space_group_IT_number 123
_space_group_name_Hall '-P 4 2'
_cell_length_a 4.3524
_cell_length_b 4.3524
_cell_length_c 4.0524
_cell_angle_alpha 90.00
_cell_angle_beta 90.00
_cell_angle_gamma 90.00
loop_
_atom_site_label
_atom_site_type_symbol
_atom_site_fract_x
_atom_site_fract_y
_atom_site_fract_z
_atom_site_occupancy
Hf1 Hf 0.0000 0.5000 0.0000 1
Ti1 Ti 0.0000 0.0000 0.5000 1
Ni1 Ni 0.5000 0.5000 0.5000 1
N1 N 0.0000 0.0000 0.0000 1
```

***

VASP calculation (PBE) on a relaxed K2ErBr4 crystal.

Output
Total DFT energy (no corrections) = -3.477 eV/atom
ΔE_f (raw) = -1.56 eV/atom

Cell and atoms, written as CIF:
```
data_K2ErBr4
_space_group_name_H-M_alt 'I 4/m m m'
_space_group_IT_number 139
_space_group_name_Hall '-I 4 2'
_cell_length_a 5.5722
_cell_length_b 5.5722
_cell_length_c 16.9373
_cell_angle_alpha 90.00
_cell_angle_beta 90.00
_cell_angle_gamma 90.00
loop_
_atom_site_label
_atom_site_type_symbol
_atom_site_fract_x
_atom_site_fract_y
_atom_site_fract_z
_atom_site_occupancy
K1 K 0.0000 0.0000 0.1399 1
Er1 Er 0.0000 0.0000 0.5000 1
Br1 Br 0.0000 0.0000 0.3332 1
Br2 Br 0.0000 0.5000 0.0000 1
```

***

VASP calculation (PBE) on a relaxed CeBiAu4 crystal.

Output
Relative energy among the computed polymorphs = 0.021 eV per atom
Total DFT energy (no corrections) = -4.211 eV/atom
Energy of formation = -38 kJ/mol of atoms

Cell and atoms, written as CIF:
```
data_CeBiAu4
_space_group_name_H-M_alt 'F -4 3 m'
_space_group_IT_number 216
_space_group_name_Hall 'F -4 2 3'
_cell_length_a 8.1213
_cell_length_b 8.1213
_cell_length_c 8.1213
_cell_angle_alpha 90.00
_cell_angle_beta 90.00
_cell_angle_gamma 90.00
loop_
_atom_site_label
_atom_site_type_symbol
_atom_site_fract_x
_atom_site_fract_y
_atom_site_fract_z
_atom_site_occupancy
Ce1 Ce 0.0000 0.0000 0.0000 1
Bi1 Bi 0.2500 0.2500 0.7500 1
Au1 Au 0.1252 0.1252 0.3748 1
```

***

VASP calculation (PBE) on a relaxed SrPm2Ho crystal.

Output
Relative energy among the computed polymorphs = 0.076 eV per atom
Total DFT energy (no corrections) = -3.761 eV/atom
Energy of formation = 17 kJ/mol of atoms

Cell and atoms, written as CIF:
```
data_SrPm2Ho
_space_group_name_H-M_alt 'P 4/m m m'
_space_group_IT_number 123
_space_group_name_Hall '-P 4 2'
_cell_length_a 5.2695
_cell_length_b 5.2695
_cell_length_c 5.2504
_cell_angle_alpha 90.00
_cell_angle_beta 90.00
_cell_angle_gamma 90.00
loop_
_atom_site_label
_atom_site_type_symbol
_atom_site_fract_x
_atom_site_fract_y
_atom_site_fract_z
_atom_site_occupancy
Sr1 Sr 0.0000 0.0000 0.0000 1
Pm1 Pm 0.0000 0.5000 0.5000 1
Ho1 Ho 0.5000 0.5000 0.0000 1
```

***

VASP calculation (PBE) on a relaxed CaGeMo2N crystal.

Output
Relative energy among the computed polymorphs = 1.373 eV per atom
Total DFT energy (no corrections) = -5.788 eV/atom
ΔE_f (raw) = 1.53 eV/atom

Cell and atoms, written as CIF:
```
data_CaGeMo2N
_space_group_name_H-M_alt 'P 4/m m m'
_space_group_IT_number 123
_space_group_name_Hall '-P 4 2'
_cell_length_a 4.9893
_cell_length_b 4.9893
_cell_length_c 3.9364
_cell_angle_alpha 90.00
_cell_angle_beta 90.00
_cell_angle_gamma 90.00
loop_
_atom_site_label
_atom_site_type_symbol
_atom_site_fract_x
_atom_site_fract_y
_atom_site_fract_z
_atom_site_occupancy
Ca1 Ca 0.0000 0.0000 0.0000 1
Ge1 Ge 0.5000 0.5000 0.5000 1
Mo1 Mo 0.0000 0.5000 0.5000 1
N1 N 0.5000 0.5000 0.0000 1
```

***

VASP calculation (PBE) on a relaxed AcNdIn6 crystal.

Output
Total DFT energy (no corrections) = -3.594 eV/atom
Energy of formation = -42 kJ/mol of atoms

Cell and atoms, written as CIF:
```
data_AcNdIn6
_space_group_name_H-M_alt 'P 4/m m m'
_space_group_IT_number 123
_space_group_name_Hall '-P 4 2'
_cell_length_a 4.8268
_cell_length_b 4.8268
_cell_length_c 9.6304
_cell_angle_alpha 90.00
_cell_angle_beta 90.00
_cell_angle_gamma 90.00
loop_
_atom_site_label
_atom_site_type_symbol
_atom_site_fract_x
_atom_site_fract_y
_atom_site_fract_z
_atom_site_occupancy
Ac1 Ac 0.0000 0.0000 0.0000 1
Nd1 Nd 0.0000 0.0000 0.5000 1
In1 In 0.0000 0.5000 0.2591 1
In2 In 0.5000 0.5000 0.0000 1
In3 In 0.5000 0.5000 0.5000 1
```